Entry from Alexandria: a relaxed MgZnSnO4 crystal (PBE-GGA).

a = 6.1815 Å, b = 6.1815 Å, c = 6.1815 Å
α = 120.96°, β = 118.61°, γ = 90.38°
With the nearest neighbours (Å) after each atom.
Positions (direct):
Mg1 0.5000 0.0000 0.0000  6 O 2.11-2.14
Mg2 0.5000 0.5000 0.5000  6 O 2.11-2.14
Zn1 0.1083 0.3583 0.7500  4 O 2.01-2.06
Zn2 0.8917 0.6417 0.2500  4 O 2.01-2.06
Sn1 0.0000 0.0000 0.0000  6 O 2.06-2.13
Sn2 0.5000 0.0000 0.5000  6 O 2.06-2.13
O1 0.2550 0.2392 0.4842  1 Zn 2.06, 2 Sn 2.13, 1 Mg 2.14
O2 0.2550 0.7708 0.0158  1 Zn 2.06, 2 Sn 2.13, 1 Mg 2.14
O3 0.2562 0.2362 0.0200  1 Zn 2.01, 1 Sn 2.06, 2 Mg 2.11
O4 0.2839 0.7638 0.5200  1 Zn 2.01, 1 Sn 2.06, 2 Mg 2.11
O5 0.7161 0.2362 0.4800  1 Zn 2.01, 1 Sn 2.06, 2 Mg 2.11
O6 0.7438 0.7638 0.9800  1 Zn 2.01, 1 Sn 2.06, 2 Mg 2.11
O7 0.7450 0.2292 0.9842  1 Zn 2.06, 2 Sn 2.13, 1 Mg 2.14
O8 0.7450 0.7608 0.5158  1 Zn 2.06, 2 Sn 2.13, 1 Mg 2.14

Properties
**Space group**: No. 74
**Formation energy without anion corrections**: -1.9129 eV per atom
**Fermi-level density of states**: 0.00 states/eV/cell

=====

Entry from Alexandria: a relaxed Mg30ZnSnO32 crystal (PBE-GGA).

a = 8.6114 Å, b = 8.6114 Å, c = 8.5812 Å
α = 90.00°, β = 90.00°, γ = 90.00°
With the nearest neighbours (Å) after each atom.
Positions (direct):
Mg1 0.0000 0.0000 0.0000  6 O 2.14
Mg2 0.0000 0.0000 0.5000  6 O 2.12-2.15
Mg3 0.0000 0.2494 0.2493  6 O 2.14-2.16
Mg4 0.0000 0.2494 0.7507  6 O 2.14-2.16
Mg5 0.0000 0.5000 0.0000  6 O 2.07-2.17
Mg6 0.0000 0.5000 0.5000  6 O 1.99-2.18
Mg7 0.0000 0.7506 0.2493  6 O 2.14-2.16
Mg8 0.0000 0.7506 0.7507  6 O 2.14-2.16
Mg9 0.2448 0.5000 0.2452  6 O 2.10-2.20
Mg10 0.2448 0.5000 0.7548  6 O 2.10-2.20
Mg11 0.2456 0.2456 0.5000  6 O 2.12-2.19
Mg12 0.2456 0.7544 0.5000  6 O 2.12-2.19
Mg13 0.2494 0.0000 0.2493  6 O 2.14-2.16
Mg14 0.2494 0.0000 0.7507  6 O 2.14-2.16
Mg15 0.2496 0.2496 0.0000  6 O 2.15-2.16
Mg16 0.2496 0.7504 0.0000  6 O 2.15-2.16
Mg17 0.5000 0.0000 0.0000  6 O 2.07-2.17
Mg18 0.5000 0.0000 0.5000  6 O 1.99-2.18
Mg19 0.5000 0.2448 0.2452  6 O 2.10-2.20
Mg20 0.5000 0.2448 0.7548  6 O 2.10-2.20
Mg21 0.5000 0.7552 0.2452  6 O 2.10-2.20
Mg22 0.5000 0.7552 0.7548  6 O 2.10-2.20
Mg23 0.7504 0.2496 0.0000  6 O 2.15-2.16
Mg24 0.7504 0.7504 0.0000  6 O 2.15-2.16
Mg25 0.7506 0.0000 0.2493  6 O 2.14-2.16
Mg26 0.7506 0.0000 0.7507  6 O 2.14-2.16
Mg27 0.7544 0.2456 0.5000  6 O 2.12-2.19
Mg28 0.7544 0.7544 0.5000  6 O 2.12-2.19
Mg29 0.7552 0.5000 0.2452  6 O 2.10-2.20
Mg30 0.7552 0.5000 0.7548  6 O 2.10-2.20
Zn1 0.5000 0.5000 0.0000  2 O 1.98
Sn1 0.5000 0.5000 0.5000  6 O 2.31-2.32
O1 0.0000 0.0000 0.2494  6 Mg 2.14-2.15
O2 0.0000 0.0000 0.7506  6 Mg 2.14-2.15
O3 0.0000 0.2466 0.5000  6 Mg 2.12-2.18
O4 0.0000 0.2484 0.0000  6 Mg 2.14-2.17
O5 0.0000 0.5000 0.2477  6 Mg 2.11-2.16
O6 0.0000 0.5000 0.7523  6 Mg 2.11-2.16
O7 0.0000 0.7516 0.0000  6 Mg 2.14-2.17
O8 0.0000 0.7534 0.5000  6 Mg 2.12-2.18
O9 0.2305 0.5000 0.5000  5 Mg 1.99-2.19
O10 0.2409 0.5000 0.0000  5 Mg 2.07-2.16, 1 Zn 2.23
O11 0.2466 0.0000 0.5000  6 Mg 2.12-2.18
O12 0.2484 0.0000 0.0000  6 Mg 2.14-2.17
O13 0.2506 0.2506 0.2502  6 Mg 2.14-2.16
O14 0.2506 0.2506 0.7498  6 Mg 2.14-2.16
O15 0.2506 0.7494 0.2502  6 Mg 2.14-2.16
O16 0.2506 0.7494 0.7498  6 Mg 2.14-2.16
O17 0.5000 0.0000 0.2477  6 Mg 2.11-2.16
O18 0.5000 0.0000 0.7523  6 Mg 2.11-2.16
O19 0.5000 0.2305 0.5000  5 Mg 1.99-2.19
O20 0.5000 0.2409 0.0000  5 Mg 2.07-2.16, 1 Zn 2.23
O21 0.5000 0.5000 0.2310  1 Zn 1.98, 4 Mg 2.20
O22 0.5000 0.5000 0.7690  1 Zn 1.98, 4 Mg 2.20
O23 0.5000 0.7591 0.0000  5 Mg 2.07-2.16, 1 Zn 2.23
O24 0.5000 0.7695 0.5000  5 Mg 1.99-2.19
O25 0.7494 0.2506 0.2502  6 Mg 2.14-2.16
O26 0.7494 0.2506 0.7498  6 Mg 2.14-2.16
O27 0.7494 0.7494 0.2502  6 Mg 2.14-2.16
O28 0.7494 0.7494 0.7498  6 Mg 2.14-2.16
O29 0.7516 0.0000 0.0000  6 Mg 2.14-2.17
O30 0.7534 0.0000 0.5000  6 Mg 2.12-2.18
O31 0.7591 0.5000 0.0000  5 Mg 2.07-2.16, 1 Zn 2.23
O32 0.7695 0.5000 0.5000  5 Mg 1.99-2.19

Properties
**Space group**: No. 123
**Formation energy without anion corrections**: -2.5704 eV per atom
**Fermi-level density of states**: 0.00 states/eV/cell

=====

Entry from Alexandria: a relaxed Sr4Mg2O crystal (PBE-GGA).

a = 10.0425 Å, b = 10.0425 Å, c = 10.0425 Å
α = 150.56°, β = 150.56°, γ = 42.12°
With the nearest neighbours (Å) after each atom.
Positions (direct):
Sr1 0.0000 0.5000 0.5000  2 O 2.55
Sr2 0.1678 0.1678 0.0000  1 O 3.14
Sr3 0.5000 0.0000 0.5000  2 O 2.55
Sr4 0.8322 0.8322 0.0000  1 O 3.14
Mg1 0.3591 0.3591 0.0000  9 Sr 3.59-3.67
Mg2 0.6409 0.6409 0.0000  9 Sr 3.59-3.67
O1 0.0000 0.0000 0.0000  4 Sr 2.55

Properties
**Space group**: No. 139
**Formation energy without anion corrections**: -0.6639 eV per atom
**Fermi-level density of states**: 4.96 states/eV/cell

=====

Entry from Alexandria: a relaxed SrMg3O4 crystal (PBE-GGA).

a = 2.7905 Å, b = 2.7905 Å, c = 11.2525 Å
α = 90.00°, β = 90.00°, γ = 90.00°
With the nearest neighbours (Å) after each atom.
Positions (direct):
Sr1 0.0000 0.0000 0.0000  8 O 2.56, 4 Sr 2.79
Mg1 0.0000 0.0000 0.2605  8 O 2.37-2.39
Mg2 0.0000 0.0000 0.5000  8 O 2.39
Mg3 0.0000 0.0000 0.7395  8 O 2.37-2.39
O1 0.5000 0.5000 0.1445  4 Mg 2.37, 4 Sr 2.56
O2 0.5000 0.5000 0.3803  8 Mg 2.39, 1 O 2.65
O3 0.5000 0.5000 0.6197  8 Mg 2.39, 1 O 2.65
O4 0.5000 0.5000 0.8555  4 Mg 2.37, 4 Sr 2.56

Properties
**Space group**: No. 123
**Formation energy without anion corrections**: -1.9061 eV per atom
**Fermi-level density of states**: 0.00 states/eV/cell
**Excess energy over the best structure of this formula in the dataset**: 558 meV per atom

=====

Entry from Alexandria: a relaxed SrMg3O4 crystal (PBE-GGA).

a = 3.2994 Å, b = 3.2994 Å, c = 8.9806 Å
α = 90.00°, β = 90.00°, γ = 90.00°
With the nearest neighbours (Å) after each atom.
Positions (direct):
Sr1 0.0000 0.0000 0.0000  6 O 2.33-2.48
Mg1 0.0000 0.0000 0.5000  2 O 2.01
Mg2 0.5000 0.5000 0.2734  1 O 2.04
Mg3 0.5000 0.5000 0.7266  1 O 2.04
O1 0.0000 0.0000 0.2757  1 Mg 2.01
O2 0.0000 0.0000 0.7243  1 Mg 2.01
O3 0.5000 0.5000 0.0000  4 Sr 2.33, 2 Mg 2.46
O4 0.5000 0.5000 0.5000  2 Mg 2.04

Properties
**Space group**: No. 123
**Formation energy without anion corrections**: -2.4645 eV per atom
**Fermi-level density of states**: 0.00 states/eV/cell
**Excess energy over the best structure of this formula in the dataset**: 0 meV per atom

=====

Entry from Alexandria: a relaxed SrMgO3 crystal (PBE-GGA).

a = 4.4207 Å, b = 4.4207 Å, c = 4.4207 Å
α = 90.00°, β = 90.00°, γ = 90.00°
With the nearest neighbours (Å) after each atom.
Positions (direct):
Sr1 0.0000 0.0000 0.0000  6 O 2.21
Mg1 0.5000 0.5000 0.5000  12 O 3.13
O1 0.0000 0.0000 0.5000  2 Sr 2.21
O2 0.0000 0.5000 0.0000  2 Sr 2.21
O3 0.5000 0.0000 0.0000  2 Sr 2.21

Properties
**Space group**: No. 221
**Formation energy without anion corrections**: -0.6363 eV per atom
**Fermi-level density of states**: 6.34 states/eV/cell

=====

Entry from Alexandria: a relaxed Sr2MgO crystal (PBE-GGA).

a = 5.4387 Å, b = 5.4387 Å, c = 5.4387 Å
α = 60.00°, β = 60.00°, γ = 60.00°
With the nearest neighbours (Å) after each atom.
Positions (direct):
Sr1 0.2500 0.2500 0.2500  4 O 3.33, 4 Mg 3.33
Sr2 0.7500 0.7500 0.7500  4 O 3.33, 4 Mg 3.33
Mg1 0.0000 0.0000 0.0000  8 Sr 3.33
O1 0.5000 0.5000 0.5000  8 Sr 3.33

Properties
**Space group**: No. 225
**Formation energy without anion corrections**: -0.2554 eV per atom
**Fermi-level density of states**: 3.46 states/eV/cell
**Excess energy over the best structure of this formula in the dataset**: 972 meV per atom

=====

Entry from Alexandria: a relaxed SrMgO3 crystal (PBE-GGA).

a = 3.9613 Å, b = 3.9613 Å, c = 3.9613 Å
α = 90.00°, β = 90.00°, γ = 90.00°
With the nearest neighbours (Å) after each atom.
Positions (direct):
Sr1 0.0000 0.0000 0.0000  12 O 2.80
Mg1 0.5000 0.5000 0.5000  6 O 1.98
O1 0.0000 0.5000 0.5000  2 Mg 1.98
O2 0.5000 0.0000 0.5000  2 Mg 1.98
O3 0.5000 0.5000 0.0000  2 Mg 1.98

Properties
**Space group**: No. 221
**Formation energy without anion corrections**: -1.8974 eV per atom
**Fermi-level density of states**: 3.41 states/eV/cell

=====

Entry from Alexandria: a relaxed Sr3MgO4 crystal (PBE-GGA).

a = 3.5083 Å, b = 5.0770 Å, c = 7.1112 Å
α = 90.00°, β = 90.00°, γ = 90.00°
With the nearest neighbours (Å) after each atom.
Positions (direct):
Sr1 0.0000 0.0000 0.0000  6 O 2.54-2.66
Sr2 0.5000 0.5000 0.2612  6 O 2.44-2.55
Sr3 0.5000 0.5000 0.7388  6 O 2.44-2.55
Mg1 0.0000 0.0000 0.5000  6 O 2.35-2.54
O1 0.0000 0.5000 0.0000  6 Sr 2.54-2.55
O2 0.0000 0.5000 0.5000  4 Sr 2.44, 2 Mg 2.54
O3 0.5000 0.0000 0.2810  2 Mg 2.35, 2 Sr 2.54
O4 0.5000 0.0000 0.7190  2 Mg 2.35, 2 Sr 2.54

Properties
**Space group**: No. 47
**Formation energy without anion corrections**: -2.5571 eV per atom
**Fermi-level density of states**: 0.00 states/eV/cell

=====

Entry from Alexandria: a relaxed SrMgO crystal (PBE-GGA).

a = 7.0487 Å, b = 7.0487 Å, c = 7.0487 Å
α = 133.05°, β = 132.17°, γ = 69.27°
With the nearest neighbours (Å) after each atom.
Positions (direct):
Sr1 0.1848 0.1848 0.0000  1 O 2.22
Sr2 0.8152 0.8152 0.0000  1 O 2.22
Mg1 0.2624 0.5000 0.7624  2 O 1.97
Mg2 0.7376 0.5000 0.2376  2 O 1.97
O1 0.3764 0.3764 0.0000  2 Mg 1.97
O2 0.6236 0.6236 0.0000  2 Mg 1.97

Properties
**Space group**: No. 71
**Formation energy without anion corrections**: -1.3537 eV per atom
**Fermi-level density of states**: 1.82 states/eV/cell

=====

Number 1: calculated density 5.402 g/cm³. Number 2: calculated density 3.719 g/cm³. Number 3: calculated density 2.824 g/cm³. Number 4: calculated density 4.255 g/cm³. Number 5: calculated density 3.814 g/cm³. Number 6: calculated density 3.074 g/cm³. Number 7: calculated density 3.146 g/cm³. Number 8: calculated density 4.272 g/cm³. Number 9: calculated density 4.604 g/cm³. Number 10: calculated density 2.283 g/cm³.